# 1
The following is a PBE calculation of MgCr2Bi after structural relaxation, from the Alexandria database.

Lattice parameters (Å, degrees): 6.278 6.278 6.278 103.69 103.69 121.77
Fractional coordinates of all 8 atoms:
Mg  0.000  0.000  0.000
Mg  0.750  0.250  0.500
Cr  0.126  0.125  0.501
Cr  0.375  0.874  0.999
Cr  0.624  0.625  0.499
Cr  0.875  0.376  0.001
Bi  0.250  0.750  0.500
Bi  0.500  0.500  0.000

* energy relative to the elements: 3.3 eV per formula unit
* SG: I-42d

# 2
The following is a PBE calculation of MgCr2Bi after structural relaxation, from the Alexandria database.

Lattice parameters (Å, degrees): 4.896 4.896 4.896 60.00 60.00 60.00
Fractional coordinates of all 4 atoms:
Mg  0.000  0.000  0.000
Cr  0.250  0.250  0.250
Cr  0.750  0.750  0.750
Bi  0.500  0.500  0.500

* energy relative to the elements: 2.1 eV per formula unit
* SG: Fm-3m

# 3
The following is a PBE calculation of Mg3CrBi after structural relaxation, from the Alexandria database.

Lattice parameters (Å, degrees): 5.188 5.188 5.188 90.00 90.00 90.00
Fractional coordinates of all 5 atoms:
Mg  0.000  0.000  0.500
Mg  0.000  0.500  0.000
Mg  0.500  0.000  0.000
Cr  0.000  0.000  0.000
Bi  0.500  0.500  0.500

* energy relative to the elements: 3.2 eV per formula unit
* SG: Pm-3m